# 1
Entry from Alexandria: a relaxed CdReHgO2 crystal (PBE).

```
CdReHgO2
1.0
4.174 0.000 0.000
0.000 4.174 0.000
0.000 0.000 5.785
Cd Re Hg O
1 1 1 2
Cartesian
0.000 0.000 0.000 Cd
2.087 2.087 0.000 Re
0.000 0.000 2.893 Hg
0.000 2.087 2.893 O
2.087 0.000 2.893 O
```

Values from the calculation:
DOS at the Fermi energy (states/eV per cell): 3.7
SG: P4/mmm, No. 123
ΔE_f (raw) (meV/atom): 1383
Total magnetization (μB per cell): 4.5

***

# 2
Entry from Alexandria: a relaxed Cd2Hg2RuO6 crystal (PBE).

```
Cd2Hg2RuO6
1.0
2.938 -5.094 0.000
2.938 5.094 0.000
-0.188 0.000 6.142
Cd Hg Ru O
2 2 1 6
Cartesian
2.938 3.466 0.000 Cd
2.938 -3.466 0.000 Cd
2.844 1.556 3.071 Hg
2.844 -1.556 3.071 Hg
2.938 0.000 0.000 Ru
1.087 0.000 5.151 O
2.167 1.563 1.133 O
3.520 1.563 5.009 O
2.167 -1.563 1.133 O
3.520 -1.563 5.009 O
4.600 0.000 0.991 O
```

Values from the calculation:
DOS at the Fermi energy (states/eV per cell): 2.2
SG: C2/m, No. 12
ΔE_f (raw) (meV/atom): -696
Total magnetization (μB per cell): 2.0

***

# 3
Entry from Alexandria: a relaxed CdHg2SO6 crystal (PBE).

```
CdHg2SO6
1.0
6.879 0.000 0.000
3.241 6.591 0.000
2.932 0.978 6.900
Cd Hg S O
2 4 2 12
Cartesian
3.170 2.710 1.896 Cd
9.883 4.859 5.003 Cd
4.721 5.965 1.959 Hg
4.915 1.629 4.939 Hg
8.137 5.941 1.961 Hg
8.332 1.604 4.941 Hg
6.437 4.991 5.570 S
6.616 2.578 1.330 S
3.185 2.610 4.371 O
5.255 5.163 4.656 O
6.673 6.239 6.330 O
6.167 3.833 6.486 O
3.200 0.428 1.598 O
5.443 2.909 2.207 O
7.610 4.660 4.693 O
9.853 7.141 5.302 O
6.885 3.736 0.414 O
6.380 1.331 0.570 O
7.797 2.406 2.244 O
9.868 4.960 2.529 O
```

Values from the calculation:
SG: P-1, No. 2
ΔE_f (raw) (meV/atom): -966
Total magnetization (μB per cell): 0.0

***

# 4
Entry from Alexandria: a relaxed Cd2Hg2SbO6 crystal (PBE).

```
Cd2Hg2SbO6
1.0
2.947 -5.097 0.000
2.947 5.097 0.000
-0.178 0.000 6.260
Cd Hg Sb O
2 2 1 6
Cartesian
2.947 3.461 0.000 Cd
2.947 -3.461 0.000 Cd
2.858 1.577 3.130 Hg
2.858 -1.577 3.130 Hg
2.947 0.000 0.000 Sb
1.972 1.536 5.096 O
1.259 0.000 1.050 O
3.744 1.536 1.164 O
1.972 -1.536 5.096 O
4.457 0.000 5.210 O
3.744 -1.536 1.164 O
```

Values from the calculation:
DOS at the Fermi energy (states/eV per cell): 1.7
SG: C2/m, No. 12
ΔE_f (raw) (meV/atom): -886
Total magnetization (μB per cell): 0.0

***

# 5
Entry from Alexandria: a relaxed CdHg2SeO6 crystal (PBE).

```
CdHg2SeO6
1.0
7.016 0.000 0.000
3.164 6.613 0.000
2.796 0.926 7.132
Cd Hg Se O
2 4 2 12
Cartesian
3.112 2.667 2.049 Cd
9.865 4.871 5.083 Cd
4.645 5.941 2.103 Hg
4.849 1.605 5.043 Hg
8.128 5.934 2.089 Hg
8.331 1.598 5.028 Hg
6.369 4.953 5.829 Se
6.608 2.586 1.303 Se
3.097 2.596 4.525 O
5.078 5.318 4.805 O
6.800 6.326 6.661 O
5.924 3.679 6.832 O
3.233 0.383 1.823 O
5.357 3.104 2.312 O
7.620 4.434 4.820 O
9.744 7.155 5.309 O
7.053 3.859 0.300 O
6.177 1.212 0.470 O
7.899 2.221 2.326 O
9.880 4.943 2.607 O
```

Values from the calculation:
SG: P-1, No. 2
ΔE_f (raw) (meV/atom): -654
Energy above the most stable polymorph in this dataset (meV per atom): 0
Total magnetization (μB per cell): 0.0

***

# 6
Entry from Alexandria: a relaxed CdHg2SeO6 crystal (PBE).

```
CdHg2SeO6
1.0
7.008 0.000 0.000
-3.094 6.648 0.000
-0.843 -3.566 7.164
Cd Hg Se O
2 4 2 12
Cartesian
0.096 1.092 1.552 Cd
2.974 1.990 5.612 Cd
-1.288 4.455 1.408 Hg
0.890 -1.326 5.774 Hg
2.181 4.408 1.390 Hg
4.359 -1.374 5.756 Hg
-0.511 2.034 4.963 Se
3.582 1.048 2.201 Se
-0.865 -2.400 6.083 O
-1.815 1.395 5.834 O
-0.019 0.864 3.859 O
-0.915 3.490 4.275 O
0.433 3.331 1.419 O
2.339 0.816 1.080 O
0.732 2.266 6.085 O
2.637 -0.249 5.746 O
3.986 -0.409 2.890 O
3.089 2.218 3.306 O
4.885 1.687 1.330 O
3.936 5.482 1.082 O
```

Values from the calculation:
SG: P-1, No. 2
ΔE_f (raw) (meV/atom): -647
Energy above the most stable polymorph in this dataset (meV per atom): 8
Total magnetization (μB per cell): 0.0